VASP calculation (GGA-PBE) on crystalline KP4Br at its relaxed geometry.

It has space group F-43m (No. 216), with a = 8.9191 Å, b = 8.9191 Å, c = 8.9191 Å, α = 90.00°, β = 90.00° and γ = 90.00°. The inequivalent atoms are K at (0.0000, 0.0000, 0.0000), P at (0.0871, 0.0871, 0.5871) and Br at (0.2500, 0.2500, 0.2500).

The calculation puts the uncorrected energy at -4.4407 eV per atom. For the formation energy (no corrections), the calculation gives -0.372 eV per atom.